Here is a geometry-optimized Nd2MnZn2Ni5 structure from Alexandria via LeMat-Bulk. Energies are from PBE.

Output
The calculation puts the energy of formation at -0.12 eV/atom.

a b c (Å): 3.564 9.470 9.470
angles (deg): 90.00 90.00 90.00
Fractional coordinates of all 20 atoms:
Zn (0.000, 0.882, 0.382)
Ni (0.500, 0.500, 0.000)
Ni (0.500, 0.945, 0.199)
Ni (0.500, 0.055, 0.801)
Nd (0.000, 0.320, 0.820)
Mn (0.000, 0.500, 0.500)
Ni (0.500, 0.555, 0.699)
Zn (0.000, 0.118, 0.618)
Zn (0.000, 0.382, 0.118)
Nd (0.000, 0.820, 0.680)
Ni (0.500, 0.445, 0.301)
Mn (0.000, 0.000, 0.000)
Ni (0.500, 0.000, 0.500)
Ni (0.500, 0.199, 0.055)
Nd (0.000, 0.180, 0.320)
Nd (0.000, 0.680, 0.180)
Ni (0.500, 0.301, 0.555)
Zn (0.000, 0.618, 0.882)
Ni (0.500, 0.801, 0.945)
Ni (0.500, 0.699, 0.445)

---

Here is a geometry-optimized Y2MgVN structure from Alexandria via LeMat-Bulk. Energies are from PBE.

Output
As for the uncorrected formation energy: -607.3 meV/atom.

a b c (Å): 5.035 5.035 3.917
angles (deg): 90.00 90.00 90.00
Fractional coordinates of all 5 atoms:
Y (0.000, 0.500, 0.000)
Y (0.500, 0.000, 0.000)
Mg (0.500, 0.500, 0.500)
N (0.000, 0.000, 0.000)
V (0.000, 0.000, 0.500)

---

Here is a geometry-optimized Ti3NbGa structure from Alexandria via LeMat-Bulk. Energies are from PBE.

Output
For the energy above the most stable polymorph in this dataset, the calculation gives 0.0 meV per atom. The calculation puts the energy of formation at -0.19 eV/atom.

a b c (Å): 4.709 7.563 10.111
angles (deg): 110.33 90.00 90.00
Fractional coordinates of all 20 atoms:
Ga (0.750, 0.941, 0.134)
Ti (0.750, 0.128, 0.713)
Ga (0.250, 0.059, 0.866)
Ti (0.250, 0.954, 0.574)
Ti (0.250, 0.872, 0.287)
Ti (0.750, 0.628, 0.213)
Ti (0.750, 0.841, 0.824)
Ga (0.750, 0.441, 0.634)
Ti (0.750, 0.341, 0.324)
Ti (0.250, 0.454, 0.074)
Ti (0.250, 0.659, 0.676)
Nb (0.750, 0.725, 0.509)
Ti (0.750, 0.546, 0.926)
Nb (0.250, 0.775, 0.991)
Ti (0.250, 0.372, 0.787)
Nb (0.750, 0.225, 0.009)
Ti (0.750, 0.046, 0.426)
Ti (0.250, 0.159, 0.176)
Nb (0.250, 0.275, 0.491)
Ga (0.250, 0.559, 0.366)

---

Here is a geometry-optimized Cd2Ga3Ag4 structure from Alexandria via LeMat-Bulk. Energies are from PBE.

Output
For the energy above the most stable polymorph in this dataset, the calculation gives 44.7 meV per atom. The calculation puts the energy of formation at 0.05 eV/atom.

a b c (Å): 7.228 7.586 7.309
angles (deg): 90.00 90.00 118.68
Fractional coordinates of all 18 atoms:
Ag (0.108, 0.886, 0.524)
Ag (0.336, 0.448, 0.361)
Cd (0.528, 0.184, 0.403)
Ga (0.000, 0.500, 0.500)
Ga (0.248, 0.244, 0.706)
Ga (0.252, 0.756, 0.206)
Ga (0.752, 0.756, 0.294)
Ga (0.500, 0.500, 0.000)
Ag (0.392, 0.114, 0.024)
Ga (0.748, 0.244, 0.794)
Ag (0.608, 0.886, 0.976)
Ag (0.892, 0.114, 0.476)
Cd (0.028, 0.184, 0.097)
Cd (0.472, 0.816, 0.597)
Ag (0.164, 0.552, 0.861)
Cd (0.972, 0.816, 0.903)
Ag (0.836, 0.448, 0.139)
Ag (0.664, 0.552, 0.639)

---

Here is a geometry-optimized Li3BeRh structure from Alexandria via LeMat-Bulk. Energies are from PBE.

Output
For the energy above the most stable polymorph in this dataset, the calculation gives 0.0 meV per atom. The calculation puts the energy of formation at 0.70 eV/atom.

a b c (Å): 4.182 4.182 4.182
angles (deg): 90.00 90.00 90.00
Fractional coordinates of all 5 atoms:
Li (0.000, 0.000, 0.500)
Be (0.000, 0.000, 0.000)
Li (0.000, 0.500, 0.000)
Rh (0.500, 0.500, 0.500)
Li (0.500, 0.000, 0.000)

---

Here is a geometry-optimized SrRe2W structure from Alexandria via LeMat-Bulk. Energies are from PBE.

Output
For the energy above the most stable polymorph in this dataset, the calculation gives 37.4 meV per atom. The calculation puts the energy of formation at 0.77 eV/atom.

a b c (Å): 3.163 3.162 7.986
angles (deg): 90.00 90.00 90.00
Fractional coordinates of all 4 atoms:
Re (0.000, 0.000, 0.007)
Re (0.500, 0.500, 0.181)
Sr (0.000, 0.000, 0.493)
W (0.500, 0.500, 0.820)

---

Here is a geometry-optimized Sm14YZr structure from Alexandria via LeMat-Bulk. Energies are from PBE.

Output
The calculation puts the energy of formation at 0.04 eV/atom.

a b c (Å): 7.198 7.198 10.136
angles (deg): 90.00 90.00 90.02
Fractional coordinates of all 16 atoms:
Sm (0.631, 0.881, 0.244)
Sm (0.119, 0.369, 0.756)
Sm (0.119, 0.369, 0.244)
Sm (0.631, 0.881, 0.756)
Sm (0.875, 0.625, 0.000)
Sm (0.630, 0.370, 0.756)
Sm (0.375, 0.125, 0.500)
Sm (0.875, 0.125, 0.500)
Sm (0.119, 0.881, 0.244)
Sm (0.375, 0.625, 0.500)
Sm (0.119, 0.881, 0.756)
Y (0.375, 0.625, 0.000)
Sm (0.630, 0.370, 0.244)
Sm (0.375, 0.125, 0.000)
Zr (0.875, 0.125, 0.000)
Sm (0.875, 0.625, 0.500)

---

Here is a geometry-optimized Hf2VCl structure from Alexandria via LeMat-Bulk. Energies are from PBE.

Output
For the energy above the most stable polymorph in this dataset, the calculation gives 196.4 meV per atom. As for the uncorrected formation energy: 652.9 meV/atom.

a b c (Å): 4.075 4.075 10.324
angles (deg): 78.62 78.62 90.00
Fractional coordinates of all 8 atoms:
V (0.750, 0.250, 0.500)
Hf (0.124, 0.625, 0.250)
V (0.000, 0.000, 0.000)
Cl (0.250, 0.750, 0.500)
Hf (0.626, 0.125, 0.250)
Hf (0.375, 0.374, 0.750)
Hf (0.875, 0.876, 0.750)
Cl (0.500, 0.500, 0.000)

---

Asked for M_tot across the records above, the calculation gives 8.1, 2.1, 0.0, 0.0, 0.0, 0.0, 0.0, 4.9 μB per cell in order.